{
  "formula": "MgFe6O4F8",
  "functional": "GGA+U",
  "state": "relaxed",
  "de_polymorph_ev_per_fu": 0.00,
  "vol_a3_per_cell": 232.78,
  "sg": "P1, No. 1",
  "final_energy_ev_per_atom": -5.785,
  "lattice_angstrom": [[-5.3990, 1.4839, -1.2975], [-2.8118, -4.6054, -2.6974], [-4.2642, -2.8949, 5.4631]],
  "species": ["F", "F", "Fe", "F", "Fe", "O", "O", "Fe", "O", "Fe", "F", "F", "F", "O", "Fe", "Fe", "Mg", "F", "F"],
  "fractional_positions": [[0.0643, 0.6417, 0.6675], [0.4222, 0.4655, 0.3507], [0.9786, 0.0718, 0.4829], [0.2045, 0.2375, 0.9608], [0.3955, 0.3902, 0.6409], [0.6712, 0.0980, 0.6598], [0.9781, 0.3729, 0.3227], [0.6717, 0.6603, 0.3413], [0.2150, 0.7141, 0.9973], [0.2931, 0.4097, 0.1417], [0.6805, 0.7491, 0.0063], [0.5857, 0.6380, 0.6595], [0.3447, 0.9367, 0.3594], [0.6378, 0.2680, 0.0240], [0.8508, 0.4485, 0.8507], [0.8929, 0.9601, 0.0363], [0.4352, 0.9079, 0.8254], [0.8777, 0.9032, 0.3284], [0.1442, 0.1268, 0.6778]]
}